(1)
The following is a PBE calculation of a relaxed AcTeP crystal, from Alexandria via LeMat-Bulk.

raw formation energy: -0.955 eV per atom
DOS at the Fermi energy: 0.73 states/eV per cell
symmetry: No. 107

Cell lengths 4.2914, 4.2914, 6.1536 Å; angles 110.41, 110.41, 90.00 degrees
Atoms (fractional coordinates):
P: 0.0132 0.0132 0.0263
Ac: 0.5843 0.5843 0.1685
Te: 0.2526 0.2526 0.5051

(2)
The following is a PBE calculation of a relaxed Ac3Te3P crystal, from Alexandria via LeMat-Bulk.

raw formation energy: -1.336 eV per atom
symmetry: No. 12

Cell lengths 8.5952, 8.5952, 8.4517 Å; angles 94.85, 94.85, 113.27 degrees
Atoms (fractional coordinates):
Ac: 0.9130 0.9130 0.2139
Ac: 0.8213 0.5104 0.7253
Ac: 0.5104 0.8213 0.7253
Ac: 0.1787 0.4896 0.2747
Ac: 0.4896 0.1787 0.2747
Ac: 0.0870 0.0870 0.7861
Te: 0.6150 0.6150 0.3580
Te: 0.1679 0.8321 0.5000
Te: 0.8321 0.1679 0.5000
Te: 0.2411 0.7589 0.0000
Te: 0.7589 0.2411 0.0000
Te: 0.3850 0.3850 0.6420
P: 0.8030 0.8030 0.8786
P: 0.1970 0.1970 0.1214

no.,spin magnetization (Bohr magnetons per cell),E_tot (eV/atom)
1,0.0,-5.17
2,0.0,-5.22